Below is LiMn2CdF6 after structural relaxation, with properties calculated at the PBE with a Hubbard U level.

a b c (Å): 5.6402 5.6389 5.9253
angles (deg): 61.57 61.60 60.00
Positions (direct):
1 F 0.4153 0.7610 0.7152
2 F 0.8442 0.6827 0.2445
3 Mn 0.0222 0.0223 0.9333
4 F 0.1085 0.4155 0.7149
5 F 0.2290 0.8445 0.2439
6 Mn 0.5068 0.5067 0.4796
7 F 0.7610 0.1081 0.7152
8 F 0.6829 0.2291 0.2438
9 Cd 0.2762 0.2765 0.1711
10 Li 0.8155 0.8153 0.5536

Computed properties:
Uncorrected energy = -5.282 eV/atom
M_tot = 10.01 μB per formula unit